# 1
Crystalline NaCoC at its relaxed geometry, computed with GGA-PBE.

Results
The value obtained for the density of states at the Fermi level is 0.64 states/eV per cell. The energy of formation comes out at 8.78 kcal/mol of atoms. The value obtained for the total moment is 0.00 μB per cell. As for the calculated total energy: -5.502 eV per atom. The symmetry is No. 156. For the distance to the lowest polymorph of the same formula, the calculation gives 0.179 eV per atom.

abc: 3.059 3.059 4.917
angles: 90.00 90.00 120.00
Element x y z (fractional)
Na (0.333, 0.667, 0.578)
C (0.667, 0.333, 0.979)
Co (0.000, 0.000, 0.066)


# 2
Crystalline NaCoC at its relaxed geometry, computed with GGA-PBE.

Results
The value obtained for the density of states at the Fermi level is 3.22 states/eV per cell. The energy of formation comes out at 5.39 kcal/mol of atoms. The value obtained for the total moment is 0.00 μB per cell. As for the calculated total energy: -5.649 eV per atom. The symmetry is No. 2. For the distance to the lowest polymorph of the same formula, the calculation gives 0.032 eV per atom.

abc: 3.730 3.730 8.207
angles: 92.14 92.41 105.32
Element x y z (fractional)
Na (0.272, 0.774, 0.189)
Na (0.728, 0.226, 0.811)
C (0.667, 0.167, 0.496)
C (0.333, 0.833, 0.504)
Co (0.200, 0.300, 0.500)
Co (0.800, 0.700, 0.500)


# 3
Crystalline NaCoC at its relaxed geometry, computed with GGA-PBE.

Results
The value obtained for the density of states at the Fermi level is 1.42 states/eV per cell. The energy of formation comes out at 4.66 kcal/mol of atoms. The value obtained for the total moment is 0.00 μB per cell. As for the calculated total energy: -5.681 eV per atom. The symmetry is No. 129. For the distance to the lowest polymorph of the same formula, the calculation gives 0.000 eV per atom.

abc: 3.382 3.382 8.211
angles: 90.00 90.00 90.00
Element x y z (fractional)
Na (0.000, 0.500, 0.804)
Na (0.500, 0.000, 0.196)
C (0.000, 0.500, 0.392)
C (0.500, 0.000, 0.608)
Co (0.000, 0.000, 0.500)
Co (0.500, 0.500, 0.500)


# 4
Crystalline NaCoC at its relaxed geometry, computed with GGA-PBE.

Results
The value obtained for the density of states at the Fermi level is 2.17 states/eV per cell. The energy of formation comes out at 8.66 kcal/mol of atoms. The value obtained for the total moment is 0.00 μB per cell. As for the calculated total energy: -5.507 eV per atom. The symmetry is No. 160. For the distance to the lowest polymorph of the same formula, the calculation gives 0.174 eV per atom.

abc: 3.053 3.053 14.786
angles: 90.00 90.00 120.00
Element x y z (fractional)
Na (0.000, 0.000, 0.699)
Na (0.333, 0.667, 0.366)
Na (0.667, 0.333, 0.033)
C (0.000, 0.000, 0.500)
C (0.333, 0.667, 0.166)
C (0.667, 0.333, 0.833)
Co (0.000, 0.000, 0.196)
Co (0.333, 0.667, 0.863)
Co (0.667, 0.333, 0.529)


# 5
Crystalline NaCo2C at its relaxed geometry, computed with GGA-PBE.

Results
The value obtained for the density of states at the Fermi level is 13.10 states/eV per cell. The energy of formation comes out at 13.02 kcal/mol of atoms. The value obtained for the total moment is 1.58 μB per cell. As for the calculated total energy: -5.624 eV per atom. The symmetry is No. 122. For the distance to the lowest polymorph of the same formula, the calculation gives 0.000 eV per atom.

abc: 6.251 6.251 5.125
angles: 52.42 52.42 90.00
Site moments in Bohr magnetons follow the coordinates.
Element x y z (fractional)
Na (0.000, 0.000, 0.000)  0.00
Na (0.750, 0.250, 0.500)  0.00
C (0.500, 0.500, 0.000)  -0.03
C (0.250, 0.750, 0.500)  -0.03
Co (0.491, 0.125, 0.250)  0.40
Co (0.259, 0.625, 0.250)  0.40
Co (0.375, 0.509, 0.750)  0.43
Co (0.875, 0.741, 0.750)  0.42


# 6
Crystalline NaCoC at its relaxed geometry, computed with GGA-PBE.

Results
The value obtained for the density of states at the Fermi level is 6.39 states/eV per cell. The energy of formation comes out at 5.41 kcal/mol of atoms. The value obtained for the total moment is 0.00 μB per cell. As for the calculated total energy: -5.648 eV per atom. The symmetry is No. 8. For the distance to the lowest polymorph of the same formula, the calculation gives 0.033 eV per atom.

abc: 8.506 5.930 4.526
angles: 90.00 105.27 90.00
Element x y z (fractional)
Na (0.117, 0.000, 0.906)
Na (0.117, 0.500, 0.406)
Na (0.742, 0.000, 0.221)
Na (0.742, 0.500, 0.721)
C (0.430, 0.000, 0.439)
C (0.430, 0.500, 0.939)
C (0.430, 0.000, 0.102)
C (0.430, 0.500, 0.602)
Co (0.430, 0.300, 0.270)
Co (0.430, 0.700, 0.270)
Co (0.430, 0.800, 0.770)
Co (0.430, 0.200, 0.770)


# 7
Crystalline NaCoC2 at its relaxed geometry, computed with GGA-PBE.

Results
The value obtained for the density of states at the Fermi level is 2.22 states/eV per cell. The energy of formation comes out at 42.35 kcal/mol of atoms. The value obtained for the total moment is 0.00 μB per cell. As for the calculated total energy: -4.882 eV per atom. The symmetry is No. 225. For the distance to the lowest polymorph of the same formula, the calculation gives 0.965 eV per atom.

abc: 3.703 3.703 3.703
angles: 60.00 60.00 60.00
Element x y z (fractional)
Na (0.000, 0.000, 0.000)
C (0.250, 0.250, 0.250)
C (0.750, 0.750, 0.750)
Co (0.500, 0.500, 0.500)


# 8
Crystalline NaCo2C at its relaxed geometry, computed with GGA-PBE.

Results
The value obtained for the density of states at the Fermi level is 2.67 states/eV per cell. The energy of formation comes out at 32.40 kcal/mol of atoms. The value obtained for the total moment is 0.00 μB per cell. As for the calculated total energy: -4.784 eV per atom. The symmetry is No. 225. For the distance to the lowest polymorph of the same formula, the calculation gives 0.840 eV per atom.

abc: 3.825 3.825 3.825
angles: 60.00 60.00 60.00
Element x y z (fractional)
Na (0.500, 0.500, 0.500)
C (0.000, 0.000, 0.000)
Co (0.250, 0.250, 0.250)
Co (0.750, 0.750, 0.750)


# 9
Crystalline NaCoC2 at its relaxed geometry, computed with GGA-PBE.

Results
The value obtained for the density of states at the Fermi level is 0.77 states/eV per cell. The energy of formation comes out at 20.09 kcal/mol of atoms. The value obtained for the total moment is 0.00 μB per cell. As for the calculated total energy: -5.847 eV per atom. The symmetry is No. 141. For the distance to the lowest polymorph of the same formula, the calculation gives 0.000 eV per atom.

abc: 4.481 4.481 6.297
angles: 69.16 69.16 90.00
Element x y z (fractional)
Na (0.500, 0.500, 0.000)
Na (0.250, 0.750, 0.500)
C (0.875, 0.125, 0.250)
C (0.875, 0.625, 0.250)
C (0.375, 0.125, 0.750)
C (0.875, 0.125, 0.750)
Co (0.000, 0.000, 0.000)
Co (0.750, 0.250, 0.500)


# 10
Crystalline NaCoNi2C at its relaxed geometry, computed with GGA-PBE.

Results
The value obtained for the density of states at the Fermi level is 2.89 states/eV per cell. The energy of formation comes out at 5.30 kcal/mol of atoms. The value obtained for the total moment is 0.00 μB per cell. As for the calculated total energy: -5.612 eV per atom. The symmetry is No. 123.

abc: 3.861 3.861 3.771
angles: 90.00 90.00 90.00
Element x y z (fractional)
Ni (0.000, 0.500, 0.000)
Ni (0.500, 0.000, 0.000)
C (0.000, 0.000, 0.000)
Co (0.000, 0.000, 0.500)
Na (0.500, 0.500, 0.500)


- energy of formation of number 8 (NaCo2C)?
  32.40 kcal/mol of atoms